(A)
The following is a DFT calculation (PBE) of Ac2SmHo after structural relaxation.

a b c (Å): 3.7170 3.7170 13.2896
angles (deg): 81.96 81.96 60.00
Last column: nearest neighbours and their distance in Å.
Sites, in units of the cell vectors:
Ac 0.0879 0.0879 0.7362  1 Ho 3.46, 6 Ac 3.72, 3 Sm 3.77
Ac 0.9121 0.9121 0.2638  1 Ho 3.46, 6 Ac 3.72, 3 Sm 3.77
Ho 0.0000 0.0000 0.0000  2 Ac 3.46, 6 Ho 3.72
Sm 0.5000 0.5000 0.5000  6 Sm 3.72, 6 Ac 3.77

Computed properties:
SG: R-3m (166)
M_tot: 0.000 μB per atom
theoretical density: 8140 kg/m3

***

(B)
The following is a DFT calculation (PBE) of Ac2SmHo after structural relaxation.

a b c (Å): 3.8181 8.3668 7.4484
angles (deg): 130.96 120.80 62.88
Last column: nearest neighbours and their distance in Å.
Sites, in units of the cell vectors:
Ac 0.7525 0.2525 0.9984  2 Sm 3.72, 4 Ho 3.72-3.73, 6 Ac 3.82
Ac 0.2526 0.7525 0.4981  2 Ho 3.72, 4 Sm 3.72-3.73, 6 Ac 3.82
Sm 0.2524 0.7524 0.9980  6 Ac 3.72-3.73, 4 Ho 3.82, 2 Sm 3.82
Ho 0.7523 0.2525 0.4984  6 Ac 3.72-3.73, 4 Sm 3.82, 2 Ho 3.82

Computed properties:
SG: P2/m (10)
M_tot: 0.000 μB per atom
theoretical density: 8422 kg/m3

***

(B) (204 meV/atom below the next structure)

***

(A)
The following is a DFT calculation (PBE) of AcSm2Ho2 after structural relaxation.

a b c (Å): 8.9913 8.9913 11.8751
angles (deg): 91.74 91.74 156.91
Last column: nearest neighbours and their distance in Å.
Sites, in units of the cell vectors:
Ac 0.7500 0.2500 0.5000  4 Sm 3.52, 2 Ac 3.60, 4 Ho 3.70
Ac 0.5000 0.5000 0.0000  4 Sm 3.52, 2 Ac 3.60, 4 Ho 3.70
Sm 0.4217 0.5783 0.5000  4 Sm 3.29-3.60, 2 Ho 3.33, 2 Ac 3.52
Sm 0.1717 0.8283 0.0000  4 Sm 3.29-3.60, 2 Ho 3.33, 2 Ac 3.52
Sm 0.0783 0.9217 0.5000  4 Sm 3.29-3.60, 2 Ho 3.33, 2 Ac 3.52
Sm 0.8283 0.1717 0.0000  4 Sm 3.29-3.60, 2 Ho 3.33, 2 Ac 3.52
Ho 0.1250 0.3750 0.7500  2 Sm 3.33, 2 Ho 3.60, 2 Ac 3.70
Ho 0.6250 0.3750 0.2500  2 Sm 3.33, 2 Ho 3.60, 2 Ac 3.70
Ho 0.6250 0.3750 0.7500  2 Sm 3.33, 2 Ho 3.60, 2 Ac 3.70
Ho 0.6250 0.8750 0.2500  2 Sm 3.33, 2 Ho 3.60, 2 Ac 3.70

Computed properties:
SG: Fddd (70)
M_tot: 0.000 μB per atom
theoretical density: 7654 kg/m3

***

(B)
The following is a DFT calculation (PBE) of AcSm2Ho2 after structural relaxation.

a b c (Å): 6.3559 6.3111 8.1639
angles (deg): 129.89 130.37 80.34
Last column: nearest neighbours and their distance in Å.
Sites, in units of the cell vectors:
Ac 0.5000 0.0000 0.5000  6 Ho 3.65-3.68, 6 Sm 3.67-3.68
Sm 0.9035 0.5965 0.3021  3 Sm 3.58-3.71, 6 Ho 3.62-3.69, 3 Ac 3.67-3.68
Sm 0.0965 0.4035 0.6979  3 Sm 3.58-3.71, 6 Ho 3.62-3.69, 3 Ac 3.67-3.68
Ho 0.6961 0.8039 0.9029  3 Ho 3.59-3.71, 6 Sm 3.62-3.69, 3 Ac 3.65-3.68
Ho 0.3039 0.1961 0.0971  3 Ho 3.59-3.71, 6 Sm 3.62-3.69, 3 Ac 3.65-3.68

Computed properties:
SG: C2/m (12)
M_tot: 0.000 μB per atom
theoretical density: 8212 kg/m3

***

(B) (377 meV/atom below the next structure)

***

(A)
The following is a DFT calculation (PBE) of AcSmHo4 after structural relaxation.

a b c (Å): 6.6997 6.6997 6.6997
angles (deg): 60.00 60.00 60.00
Last column: nearest neighbours and their distance in Å.
Sites, in units of the cell vectors:
Ac 0.2500 0.2500 0.2500  12 Ho 3.93, 4 Sm 4.10
Ho 0.6262 0.6262 0.1215  6 Ho 3.32-3.38
Ho 0.6262 0.1215 0.6262  6 Ho 3.32-3.38
Ho 0.6262 0.6262 0.6262  6 Ho 3.32-3.38
Ho 0.1215 0.6262 0.6262  6 Ho 3.32-3.38
Sm 0.0000 0.0000 0.0000  12 Ho 3.92, 4 Ac 4.10

Computed properties:
SG: F-43m (216)
M_tot: 0.466 μB per atom
theoretical density: 8098 kg/m3

***

(B)
The following is a DFT calculation (PBE) of AcSmHo4 after structural relaxation.

a b c (Å): 10.3144 9.6863 8.8340
angles (deg): 139.62 125.38 79.24
Last column: nearest neighbours and their distance in Å.
Sites, in units of the cell vectors:
Ac 0.6739 0.6144 0.0331  8 Ho 3.47-3.82, 2 Sm 3.63-3.83
Ac 0.3261 0.3856 0.9669  8 Ho 3.47-3.82, 2 Sm 3.63-3.83
Sm 0.1866 0.2634 0.3534  1 Sm 3.29, 6 Ho 3.37-3.60, 1 Ac 3.63
Sm 0.8134 0.7366 0.6466  1 Sm 3.29, 6 Ho 3.37-3.60, 1 Ac 3.63
Ho 0.8825 0.1430 0.3356  5 Ho 3.25-3.59, 2 Sm 3.43-3.55, 1 Ac 3.47
Ho 0.5755 0.2840 0.3550  5 Ho 3.25-3.52, 1 Sm 3.37, 1 Ac 3.48
Ho 0.9149 0.2462 0.8409  5 Ho 3.41-3.71, 1 Sm 3.57, 2 Ac 3.63-3.76
Ho 0.6176 0.1337 0.8540  4 Ho 3.33-3.53, 2 Sm 3.59-3.60, 2 Ac 3.61-3.64
Ho 0.1175 0.8570 0.6644  5 Ho 3.25-3.59, 2 Sm 3.43-3.55, 1 Ac 3.47
Ho 0.4245 0.7160 0.6450  5 Ho 3.25-3.52, 1 Sm 3.37, 1 Ac 3.48
Ho 0.0851 0.7538 0.1591  5 Ho 3.41-3.71, 1 Sm 3.57, 2 Ac 3.63-3.76
Ho 0.3824 0.8663 0.1460  4 Ho 3.33-3.53, 2 Sm 3.59-3.60, 2 Ac 3.61-3.64

Computed properties:
SG: P-1 (2)
M_tot: 0.000 μB per atom
theoretical density: 8430 kg/m3

***

(C)
The following is a DFT calculation (PBE) of AcSmHo4 after structural relaxation.

a b c (Å): 9.0694 6.7089 8.5630
angles (deg): 109.77 119.34 95.81
Last column: nearest neighbours and their distance in Å.
Sites, in units of the cell vectors:
Ac 0.4271 0.6771 0.3542  3 Sm 3.53-3.71, 8 Ho 3.64-3.94, 2 Ac 3.88
Ac 0.5729 0.3229 0.6458  3 Sm 3.53-3.71, 8 Ho 3.64-3.94, 2 Ac 3.88
Sm 0.6911 0.9411 0.8823  6 Ho 3.26-3.59, 1 Ac 3.53
Sm 0.3089 0.0589 0.1177  6 Ho 3.26-3.59, 1 Ac 3.53
Ho 0.2356 0.9921 0.6537  7 Ho 3.45-3.80, 2 Sm 3.55-3.72, 1 Ac 3.64
Ho 0.9802 0.7341 0.1319  2 Sm 3.26-3.59, 5 Ho 3.37-3.63
Ho 0.0819 0.3384 0.3463  7 Ho 3.45-3.80, 2 Sm 3.55-3.72, 1 Ac 3.64
Ho 0.3483 0.6022 0.8681  2 Sm 3.26-3.59, 5 Ho 3.37-3.63
Ho 0.7644 0.0079 0.3463  7 Ho 3.45-3.80, 2 Sm 3.55-3.72, 1 Ac 3.64
Ho 0.9181 0.6616 0.6537  7 Ho 3.45-3.80, 2 Sm 3.55-3.72, 1 Ac 3.64
Ho 0.0198 0.2659 0.8681  2 Sm 3.26-3.59, 5 Ho 3.37-3.63
Ho 0.6517 0.3978 0.1319  2 Sm 3.26-3.59, 5 Ho 3.37-3.63

Computed properties:
SG: C2/c (15)
M_tot: 0.000 μB per atom
theoretical density: 8521 kg/m3

***

(C) (53 meV/atom below the next structure)